PmNi2F11: optimized geometry, PBE with a Hubbard U.

Structure (extended XYZ):
```
28
Lattice="-5.1887 4.5497 4.5207 5.1887 -4.5497 4.5207 5.1887 4.5497 -4.5207" Properties=species:S:1:pos:R:3 pbc="T T T"
Pm 0.0000 0.0000 0.0000
Pm 5.1887 0.0000 0.0000
Ni 2.5944 -2.0603 2.4799
Ni 2.5944 2.5116 2.0174
Ni 2.5944 6.6100 -2.0408
Ni 2.5944 2.0381 6.5380
F 6.5128 1.6651 -1.0539
F 3.8647 -2.8846 3.4668
F 1.3190 -1.0455 1.6971
F 3.8697 -1.0455 1.6971
F 2.5944 3.5643 -1.3043
F 1.2808 1.6431 1.0307
F 3.9079 1.6431 1.0307
F 3.8697 5.5952 -2.8236
F 6.5078 1.0455 1.6971
F 2.5944 -1.3003 5.4786
F 2.5944 0.9854 3.2164
F 2.5944 3.9179 0.6288
F 2.5944 0.6318 5.1495
F 1.3240 7.4343 -1.0539
F -1.3240 2.8846 3.4668
F 1.2895 3.4951 2.9043
F 3.8992 3.4951 2.9043
F 2.5944 5.8500 0.9580
F 1.2808 2.9066 5.5514
F 3.9079 2.9066 5.5514
F -1.2895 5.6043 2.9043
F 1.2895 1.0546 7.4249
```

Output
Space-group type: Ima2 (46)
Total DFT energy (no corrections) (eV per atom): -4.188
Magnetization (Bohr magnetons per cell): 4.172